# HfNb2Re (GGA-PBE, optimized geometry)
# M_tot (Bohr magnetons per cell): 0.0
# Theoretical density (g cm⁻³): 12.84
# Crystal system: tetragonal
# Symmetry: P4/mmm (123)
# Energy of formation (meV per atom): -58
# Volume (Å³ per cell): 71.2
# Energy (eV/atom): -10.693
data_HfNb2Re
_cell_length_a 4.644
_cell_length_b 4.644
_cell_length_c 3.300
_cell_angle_alpha 90.00
_cell_angle_beta 90.00
_cell_angle_gamma 90.00
_space_group_name_H-M_alt 'P 1'
_space_group_IT_number 1
_space_group_name_Hall 'P 1'
loop_
_atom_site_label
_atom_site_type_symbol
_atom_site_fract_x
_atom_site_fract_y
_atom_site_fract_z
Hf1 Hf 0.000 0.000 0.000
Nb1 Nb 0.000 0.500 0.500
Nb2 Nb 0.500 0.000 0.500
Re1 Re 0.500 0.500 0.000

# Na2Nb2NiS6 (GGA-PBE, optimized geometry)
# M_tot (Bohr magnetons per cell): 2.0
# Theoretical density (g cm⁻³): 3.62
# Formation energy without anion corrections (kJ/mol of formula units): -930
# Crystal system: monoclinic
# Symmetry: C2/m (12)
# Volume (Å³ per cell): 221.4
# Energy (eV/atom): -5.724
data_Na2Nb2NiS6
_cell_length_a 6.107
_cell_length_b 6.107
_cell_length_c 7.130
_cell_angle_alpha 97.16
_cell_angle_beta 97.16
_cell_angle_gamma 120.65
_space_group_name_H-M_alt 'P 1'
_space_group_IT_number 1
_space_group_name_Hall 'P 1'
loop_
_atom_site_label
_atom_site_type_symbol
_atom_site_fract_x
_atom_site_fract_y
_atom_site_fract_z
Na1 Na 0.178 0.822 0.000
Na2 Na 0.822 0.178 0.000
Nb1 Nb 0.359 0.641 0.500
Nb2 Nb 0.641 0.359 0.500
Ni1 Ni 0.000 0.000 0.500
S1 S 0.051 0.385 0.694
S2 S 0.255 0.255 0.269
S3 S 0.385 0.051 0.694
S4 S 0.615 0.949 0.306
S5 S 0.745 0.745 0.731
S6 S 0.949 0.615 0.306

# CaPr3Co (GGA-PBE, optimized geometry)
# M_tot (Bohr magnetons per cell): 0.0
# Theoretical density (g cm⁻³): 5.10
# Crystal system: cubic
# Symmetry: Pm-3m (221)
# Energy above the lowest structure with this stoichiometry (meV per atom): 32
# Energy of formation (meV per atom): 31
# Volume (Å³ per cell): 169.9
# Energy (eV/atom): -4.658
data_CaPr3Co
_cell_length_a 5.539
_cell_length_b 5.539
_cell_length_c 5.539
_cell_angle_alpha 90.00
_cell_angle_beta 90.00
_cell_angle_gamma 90.00
_space_group_name_H-M_alt 'P 1'
_space_group_IT_number 1
_space_group_name_Hall 'P 1'
loop_
_atom_site_label
_atom_site_type_symbol
_atom_site_fract_x
_atom_site_fract_y
_atom_site_fract_z
Ca1 Ca 0.000 0.000 0.000
Pr1 Pr 0.000 0.500 0.500
Pr2 Pr 0.500 0.000 0.500
Pr3 Pr 0.500 0.500 0.000
Co1 Co 0.500 0.500 0.500

# TeSe (GGA-PBE, optimized geometry)
# M_tot (Bohr magnetons per cell): 0.0
# Theoretical density (g cm⁻³): 5.53
# Formation energy without anion corrections (kJ/mol of formula units): -2
# Crystal system: triclinic
# Symmetry: P1 (1)
# Volume (Å³ per cell): 186.2
# Energy (eV/atom): -3.324
data_TeSe
_cell_length_a 4.338
_cell_length_b 4.419
_cell_length_c 11.062
_cell_angle_alpha 88.65
_cell_angle_beta 89.46
_cell_angle_gamma 61.44
_space_group_name_H-M_alt 'P 1'
_space_group_IT_number 1
_space_group_name_Hall 'P 1'
loop_
_atom_site_label
_atom_site_type_symbol
_atom_site_fract_x
_atom_site_fract_y
_atom_site_fract_z
Te1 Te 0.000 0.000 0.000
Te2 Te 0.013 0.987 0.513
Te3 Te 0.735 0.718 0.336
Se1 Se 0.499 0.224 0.166
Se2 Se 0.505 0.224 0.679
Se3 Se 0.731 0.769 0.836

# Ca4Tb3YSe8 (GGA-PBE, optimized geometry)
# M_tot (Bohr magnetons per cell): 0.0
# Theoretical density (g cm⁻³): 5.61
# Formation energy without anion corrections (kJ/mol of formula units): -2909
# Crystal system: trigonal
# Symmetry: R-3m (166)
# Volume (Å³ per cell): 401.6
# Energy (eV/atom): -5.399
data_Ca4Tb3YSe8
_cell_length_a 8.338
_cell_length_b 8.338
_cell_length_c 8.338
_cell_angle_alpha 59.11
_cell_angle_beta 59.11
_cell_angle_gamma 59.11
_space_group_name_H-M_alt 'P 1'
_space_group_IT_number 1
_space_group_name_Hall 'P 1'
loop_
_atom_site_label
_atom_site_type_symbol
_atom_site_fract_x
_atom_site_fract_y
_atom_site_fract_z
Ca1 Ca 0.000 0.000 0.000
Ca2 Ca 0.000 0.500 0.500
Ca3 Ca 0.500 0.000 0.500
Ca4 Ca 0.500 0.500 0.000
Tb1 Tb 0.000 0.000 0.500
Tb2 Tb 0.000 0.500 0.000
Tb3 Tb 0.500 0.000 0.000
Y1 Y 0.500 0.500 0.500
Se1 Se 0.249 0.249 0.249
Se2 Se 0.249 0.749 0.749
Se3 Se 0.251 0.251 0.751
Se4 Se 0.251 0.751 0.251
Se5 Se 0.749 0.249 0.749
Se6 Se 0.749 0.749 0.249
Se7 Se 0.751 0.251 0.251
Se8 Se 0.751 0.751 0.751

# Fe2HgBPd (GGA-PBE, optimized geometry)
# M_tot (Bohr magnetons per cell): 6.6
# Theoretical density (g cm⁻³): 7.78
# Crystal system: tetragonal
# Symmetry: P4/mmm (123)
# Energy of formation (meV per atom): 1065
# Volume (Å³ per cell): 91.6
# Energy (eV/atom): -4.754
data_Fe2HgBPd
_cell_length_a 4.807
_cell_length_b 4.807
_cell_length_c 3.965
_cell_angle_alpha 90.00
_cell_angle_beta 90.00
_cell_angle_gamma 90.00
_space_group_name_H-M_alt 'P 1'
_space_group_IT_number 1
_space_group_name_Hall 'P 1'
loop_
_atom_site_label
_atom_site_type_symbol
_atom_site_fract_x
_atom_site_fract_y
_atom_site_fract_z
Fe1 Fe 0.000 0.500 0.000
Fe2 Fe 0.500 0.000 0.000
Hg1 Hg 0.000 0.000 0.500
B1 B 0.500 0.500 0.500
Pd1 Pd 0.500 0.500 0.000

> Among the records above, which one has the highest M_tot?

Fe2HgBPd